Record 1
# HfTi6Pb2 GGA-PBE relaxed
data_HfTi6Pb2
_chemical_formula_sum 'Hf1 Ti6 Pb2'
_cell_length_a 2.981
_cell_length_b 8.160
_cell_length_c 8.517
_cell_angle_alpha 118.62
_cell_angle_beta 100.08
_cell_angle_gamma 90.00
_symmetry_space_group_name_H-M 'P 1'
_symmetry_Int_Tables_number 1
loop_
_symmetry_equiv_pos_as_xyz
'x,y,z'
loop_
_atom_site_label
_atom_site_type_symbol
_atom_site_fract_x
_atom_site_fract_y
_atom_site_fract_z
_atom_site_occupancy
Hf1 Hf 0.000 0.500 0.000 1
Ti1 Ti 0.662 0.829 0.323 1
Ti2 Ti 0.338 0.171 0.677 1
Ti3 Ti 0.338 0.505 0.677 1
Ti4 Ti 0.500 0.173 0.000 1
Ti5 Ti 0.500 0.827 0.000 1
Ti6 Ti 0.662 0.495 0.323 1
Pb1 Pb 0.841 0.841 0.681 1
Pb2 Pb 0.159 0.159 0.319 1
# * energy above the most stable polymorph in this dataset: 35.7 meV per atom

Record 2
# HfTi6Pb2 GGA-PBE relaxed
data_HfTi6Pb2
_chemical_formula_sum 'Hf1 Ti6 Pb2'
_cell_length_a 4.906
_cell_length_b 5.585
_cell_length_c 7.491
_cell_angle_alpha 111.88
_cell_angle_beta 109.13
_cell_angle_gamma 90.00
_symmetry_space_group_name_H-M 'P 1'
_symmetry_Int_Tables_number 1
loop_
_symmetry_equiv_pos_as_xyz
'x,y,z'
loop_
_atom_site_label
_atom_site_type_symbol
_atom_site_fract_x
_atom_site_fract_y
_atom_site_fract_z
_atom_site_occupancy
Hf1 Hf 0.000 0.000 0.000 1
Ti1 Ti 0.610 0.878 0.219 1
Ti2 Ti 0.788 0.788 0.576 1
Ti3 Ti 0.610 0.341 0.219 1
Ti4 Ti 0.390 0.122 0.781 1
Ti5 Ti 0.212 0.212 0.424 1
Ti6 Ti 0.390 0.659 0.781 1
Pb1 Pb 0.152 0.652 0.304 1
Pb2 Pb 0.848 0.348 0.696 1
# * energy above the most stable polymorph in this dataset: 0.0 meV per atom

Record 3
# Hf2Ti5Pb3 GGA-PBE relaxed
data_Hf2Ti5Pb3
_chemical_formula_sum 'Hf4 Ti10 Pb6'
_cell_length_a 5.592
_cell_length_b 9.485
_cell_length_c 9.485
_cell_angle_alpha 104.29
_cell_angle_beta 72.85
_cell_angle_gamma 72.85
_symmetry_space_group_name_H-M 'P 1'
_symmetry_Int_Tables_number 1
loop_
_symmetry_equiv_pos_as_xyz
'x,y,z'
loop_
_atom_site_label
_atom_site_type_symbol
_atom_site_fract_x
_atom_site_fract_y
_atom_site_fract_z
_atom_site_occupancy
Hf1 Hf 0.084 0.583 0.249 1
Hf2 Hf 0.584 0.249 0.583 1
Hf3 Hf 0.916 0.417 0.751 1
Hf4 Hf 0.416 0.751 0.417 1
Ti1 Ti 0.410 0.255 0.925 1
Ti2 Ti 0.910 0.925 0.255 1
Ti3 Ti 0.590 0.745 0.075 1
Ti4 Ti 0.090 0.075 0.745 1
Ti5 Ti 0.520 0.730 0.730 1
Ti6 Ti 0.480 0.270 0.270 1
Ti7 Ti 0.750 0.500 0.500 1
Ti8 Ti 0.250 0.500 0.500 1
Ti9 Ti 0.980 0.270 0.270 1
Ti10 Ti 0.020 0.730 0.730 1
Pb1 Pb 0.258 0.572 0.912 1
Pb2 Pb 0.758 0.912 0.572 1
Pb3 Pb 0.742 0.428 0.088 1
Pb4 Pb 0.242 0.088 0.428 1
Pb5 Pb 0.250 0.000 0.000 1
Pb6 Pb 0.750 0.000 0.000 1
# * electronic total energy: -0.4982 Ry/atom

- What is the formula in the first record?
  HfTi6Pb2